A plane-wave DFT calculation with GGA+U was carried out for a geometry-optimized SmCr2BiO8 structure.

final energy	-7.07	eV/atom
magnetic moment	4.0	Bohr magnetons per cell
density	5.652	g/cm3

a b c (Å): 7.3509 7.3509 6.4307
angles (deg): 90.00 90.00 90.00
Last column: nearest neighbours and their distance in Å.
Space group I-4m2 (No. 119)
Symmetry-distinct sites (fractional):
Sm 0.0000 0.0000 0.0000 x2  8 O 2.40-2.48
Cr 0.0000 0.0000 0.5000 x2  4 O 1.73
Cr 0.0000 0.5000 0.7500 x2  4 O 1.73
Bi 0.0000 0.5000 0.2500 x2  8 O 2.41-2.48
O 0.0000 0.1796 0.3271 x8  1 Cr 1.73
O 0.0000 0.3198 0.9235 x8  1 Cr 1.73